Below is a relaxed Zr2FeOs crystal, with properties calculated at the PBE level.

a = 5.530 Å, b = 5.530 Å, c = 4.522 Å
α = 65.87°, β = 65.87°, γ = 34.08°
Site moments in Bohr magnetons follow the coordinates.
Positions (direct):
Zr1 0.758 0.758 0.742  -0.12
Zr2 0.987 0.987 0.013  -0.25
Fe1 0.517 0.517 0.483  2.14
Os1 0.238 0.238 0.262  0.21

Total energy in eV per atom: -9.35
Energy of formation from the pure elements in eV/atom: -0.15



Below is a relaxed Ac4NiAuI2 crystal, with properties calculated at the PBE level.

a = 4.516 Å, b = 7.787 Å, c = 8.943 Å
α = 106.95°, β = 90.00°, γ = 90.00°
Positions (direct):
Ni1 0.500 0.500 0.000
Au1 0.000 0.000 0.000
Ac1 0.500 0.751 0.812
Ac2 0.500 0.249 0.188
Ac3 0.000 0.719 0.187
Ac4 0.000 0.281 0.813
I1 0.500 0.000 0.500
I2 0.000 0.500 0.500

Total energy in eV per atom: -4.38
Raw formation energy in eV per atom: -0.810



Below is a relaxed La5Nd2Ho2 crystal, with properties calculated at the PBE level.

a = 11.893 Å, b = 6.993 Å, c = 10.221 Å
α = 110.01°, β = 125.57°, γ = 90.00°
Positions (direct):
Ho1 0.257 0.351 0.500
Ho2 0.500 0.568 0.000
Ho3 0.743 0.851 0.500
Ho4 0.000 0.068 0.000
La1 0.219 0.167 0.896
La2 0.006 0.148 0.500
La3 0.415 0.518 0.288
La4 0.627 0.731 0.712
La5 0.994 0.648 0.500
La6 0.177 0.667 0.896
La7 0.585 0.231 0.712
La8 0.823 0.771 0.104
La9 0.781 0.271 0.104
La10 0.373 0.018 0.288
Nd1 0.135 0.670 0.259
Nd2 0.865 0.411 0.741
Nd3 0.376 0.911 0.741
Nd4 0.624 0.170 0.259

Distance to the lowest polymorph of the same formula in eV/f.u.: 1.45
Total energy in eV per atom: -4.63
Energy of formation from the pure elements in eV/atom: 0.19



Below is a relaxed CaHfPd2 crystal, with properties calculated at the PBE level.

a = 3.122 Å, b = 4.998 Å, c = 4.998 Å
α = 90.00°, β = 90.00°, γ = 90.00°
Positions (direct):
Pd1 0.000 0.000 0.500
Pd2 0.000 0.500 0.000
Ca1 0.500 0.500 0.500
Hf1 0.500 0.000 0.000

Distance to the lowest polymorph of the same formula in eV/f.u.: 0.45
Total energy in eV per atom: -6.19
Energy of formation from the pure elements in eV/atom: -0.60



Below is a relaxed YbMnGe crystal, with properties calculated at the PBE level.

a = 4.235 Å, b = 7.144 Å, c = 7.630 Å
α = 90.00°, β = 90.00°, γ = 90.00°
Site moments in Bohr magnetons follow the coordinates.
Positions (direct):
Mn1 0.250 0.634 0.560  3.04
Mn2 0.250 0.134 0.940  3.04
Mn3 0.750 0.366 0.440  3.04
Mn4 0.750 0.866 0.060  3.04
Ge1 0.250 0.787 0.888  -0.10
Ge2 0.750 0.713 0.388  -0.10
Ge3 0.250 0.287 0.612  -0.10
Ge4 0.750 0.213 0.112  -0.10
Yb1 0.750 0.990 0.682  0.12
Yb2 0.750 0.490 0.818  0.12
Yb3 0.250 0.510 0.182  0.12
Yb4 0.250 0.010 0.318  0.12

Total energy in eV per atom: -5.50
Energy of formation from the pure elements in eV/atom: -0.39



Below is a relaxed CsRb2Te6 crystal, with properties calculated at the PBE level.

a = 4.668 Å, b = 11.480 Å, c = 11.480 Å
α = 64.25°, β = 52.52°, γ = 52.52°
Positions (direct):
Rb1 0.041 0.331 0.331
Rb2 0.943 0.669 0.669
Te1 0.451 0.911 0.424
Te2 0.512 0.744 0.257
Te3 0.537 0.576 0.088
Te4 0.451 0.424 0.911
Te5 0.537 0.088 0.576
Te6 0.512 0.257 0.744
Cs1 0.016 0.000 0.000

Distance to the lowest polymorph of the same formula in eV/f.u.: 0.00
Total energy in eV per atom: -3.00
Raw formation energy in eV per atom: -0.593



Below is a relaxed ScZnH3 crystal, with properties calculated at the PBE level.

a = 3.797 Å, b = 3.797 Å, c = 3.797 Å
α = 90.00°, β = 90.00°, γ = 90.00°
Positions (direct):
H1 0.500 0.000 0.000
H2 0.000 0.000 0.500
H3 0.000 0.500 0.000
Sc1 0.000 0.000 0.000
Zn1 0.500 0.500 0.500

Total energy in eV per atom: -3.59